Record 1
Tl2CdS, optimized geometry, DFT GGA-PBE; V = 27.49 A^3/atom; N(E_F) = 0.19 states/eV per cell; space-group type = Fm-3m; ΔE_f (raw) = -4.9 kJ/mol of atoms; energy above the most stable polymorph in this dataset = 54.9 meV per atom
1.0
0.000 3.802 3.802
3.802 0.000 3.802
3.802 3.802 0.000
Tl Cd S
2 1 1
Cartesian
1.901 1.901 1.901
5.703 5.703 5.703
0.000 0.000 0.000
3.802 3.802 3.802

=====

Record 2
Tl2CdS, optimized geometry, DFT GGA-PBE; V = 28.53 A^3/atom; N(E_F) = 1.30 states/eV per cell; space-group type = I-42d; ΔE_f (raw) = -9.3 kJ/mol of atoms; energy above the most stable polymorph in this dataset = 9.3 meV per atom
1.0
-4.092 4.092 3.408
4.092 -4.092 3.408
4.092 4.092 -3.408
Tl Cd S
4 2 2
Cartesian
6.138 1.801 -0.852
1.801 2.046 0.852
-2.046 2.291 2.556
2.291 2.046 4.260
4.092 0.000 1.704
0.000 0.000 3.408
0.000 0.000 0.000
0.000 4.092 1.704

=====

What did the second record say?
Tl2CdS, optimized geometry, DFT GGA-PBE; V = 28.53 A^3/atom; N(E_F) = 1.30 states/eV per cell; space-group type = I-42d; ΔE_f (raw) = -9.3 kJ/mol of atoms; energy above the most stable polymorph in this dataset = 9.3 meV per atom
1.0
-4.092 4.092 3.408
4.092 -4.092 3.408
4.092 4.092 -3.408
Tl Cd S
4 2 2
Cartesian
6.138 1.801 -0.852
1.801 2.046 0.852
-2.046 2.291 2.556
2.291 2.046 4.260
4.092 0.000 1.704
0.000 0.000 3.408
0.000 0.000 0.000
0.000 4.092 1.704

=====

Question: Among the records above, which one has the highest N(E_F)?
Answer: number 2

=====

Question: V of number 2 (Tl2CdS)?
Answer: 28.53 A^3/atom